1.
Tl6I3ClF2 PBE optimized geometry; E_tot = -36.9 eV/cell; ΔE_f (raw) = -1.038 eV/atom; density = 6.4 g/cm3
1.0
8.327 -0.364 -0.042
-4.477 7.031 -0.042
-1.323 -2.290 7.722
Tl I Cl F
6 3 1 2
Direct
0.910 0.561 0.809
0.747 0.747 0.233
0.090 0.439 0.191
0.561 0.910 0.809
0.253 0.253 0.767
0.439 0.090 0.191
0.158 0.842 0.500
0.842 0.158 0.500
0.500 0.500 0.500
0.000 0.000 0.000
0.281 0.719 0.000
0.719 0.281 0.000


2.
Ti2CdReC PBE optimized geometry; E_tot = -39.5 eV/cell; DFT formation energy = -230 meV/atom; density = 9.1 g/cm3
1.0
-0.491 3.814 1.954
-3.660 0.345 -1.592
-1.684 -1.980 3.442
Re C Ti Cd
1 1 2 1
Direct
0.000 0.500 0.000
0.000 0.000 0.000
0.000 0.000 0.500
0.500 0.000 0.000
0.500 0.500 0.500


3.
Li2InCuH PBE optimized geometry; E_tot = -14.3 eV/cell; energy above the lowest structure with this stoichiometry = 7.6 kJ/mol of atoms; density = 4.7 g/cm3
1.0
3.866 0.000 0.000
0.000 3.866 0.000
0.000 0.000 4.595
H Li Cu In
1 2 1 1
Direct
0.000 0.000 0.000
0.000 0.500 0.000
0.500 0.000 0.000
0.500 0.500 0.500
0.000 0.000 0.500


4.
RbTeNF2 PBE optimized geometry; E_tot = -21.4 eV/cell; energy above the lowest structure with this stoichiometry = 0.0 kJ/mol of atoms; ΔE_f (raw) = -1.042 eV/atom; density = 4.6 g/cm3
1.0
4.843 0.000 0.000
0.000 4.843 0.000
0.000 0.000 4.039
N Te Rb F
1 1 1 2
Direct
0.000 0.000 0.500
0.000 0.000 0.000
0.500 0.500 0.500
0.000 0.500 0.000
0.500 0.000 0.000


5.
Ce2PmTi PBE optimized geometry; E_tot = -23.7 eV/cell; DFT formation energy = 198 meV/atom; density = 7.5 g/cm3
1.0
-0.827 1.374 -2.825
-1.332 -2.799 -0.972
-8.742 2.798 3.920
Ti Ce Pm
1 2 1
Direct
0.500 0.500 0.000
0.000 0.000 0.778
0.000 0.000 0.222
0.500 0.500 0.500


6.
Li2ZrAsH PBE optimized geometry; E_tot = -23.2 eV/cell; density = 4.5 g/cm3
1.0
3.952 0.000 0.000
0.000 3.952 0.000
0.000 0.000 4.277
H As Zr Li
1 1 1 2
Direct
0.000 0.000 0.000
0.500 0.500 0.500
0.000 0.000 0.500
0.000 0.500 0.000
0.500 0.000 0.000


7.
BiOsSe3 PBE optimized geometry; E_tot = -23.3 eV/cell; energy above the lowest structure with this stoichiometry = 0.0 kJ/mol of atoms; ΔE_f (raw) = 0.450 eV/atom; density = 8.9 g/cm3
1.0
-4.187 -0.983 -2.384
-0.756 -3.879 2.926
-2.466 2.858 3.151
Os Bi Se
1 1 3
Direct
0.000 0.000 0.000
0.500 0.500 0.500
0.000 0.500 0.000
0.000 0.000 0.500
0.500 0.000 0.000


8.
CsVCd2In PBE optimized geometry; E_tot = -12.9 eV/cell; DFT formation energy = 335 meV/atom; density = 5.0 g/cm3
1.0
-3.014 -4.267 -2.083
2.971 0.145 -4.594
3.637 -3.661 2.236
Cs V Cd In
1 1 2 1
Direct
0.500 0.500 0.500
0.000 0.000 0.000
0.000 0.000 0.500
0.500 0.000 0.000
0.000 0.500 0.000


9.
FeSiW PBE optimized geometry; E_tot = -27.5 eV/cell; energy above the lowest structure with this stoichiometry = 8.8 kJ/mol of atoms; ΔE_f (raw) = -0.217 eV/atom; density = 11.6 g/cm3
1.0
-2.076 -3.434 0.059
3.783 0.035 -1.340
0.908 -0.505 2.552
Fe Si W
1 1 1
Direct
0.000 0.000 0.166
0.667 0.333 0.167
0.333 0.667 0.667


10.
K2HAu PBE optimized geometry; E_tot = -9.5 eV/cell; energy above the lowest structure with this stoichiometry = 5.0 kJ/mol of atoms; density = 4.5 g/cm3
1.0
3.644 0.000 0.000
0.000 3.644 0.000
0.000 0.000 7.702
H K Au
1 2 1
Direct
0.500 0.500 0.000
0.000 0.000 0.782
0.000 0.000 0.218
0.500 0.500 0.500


11.
AgRuAu2 PBE optimized geometry; E_tot = -17.5 eV/cell; energy above the lowest structure with this stoichiometry = 5.3 kJ/mol of atoms; DFT formation energy = 303 meV/atom; density = 14.7 g/cm3
1.0
-0.386 2.800 0.056
-0.290 -0.096 2.811
8.407 1.139 0.906
Ag Au Ru
1 2 1
Direct
0.500 0.500 0.742
0.000 0.000 0.998
0.500 0.500 0.261
0.000 0.000 0.499


12.
Pm3Er2Hg7 PBE optimized geometry; E_tot = -29.4 eV/cell; DFT formation energy = -327 meV/atom; density = 10.9 g/cm3
1.0
-4.456 3.121 1.143
-2.993 -4.227 -0.130
3.263 0.518 11.305
Pm Er Hg
3 2 7
Direct
0.500 0.500 0.000
0.500 0.670 0.341
0.500 0.330 0.659
0.000 0.858 0.715
0.000 0.142 0.285
0.000 0.424 0.848
0.000 0.724 0.448
0.000 0.000 0.000
0.000 0.576 0.152
0.500 0.088 0.175
0.500 0.912 0.825
0.000 0.276 0.552